[1]
{
  "formula": "ScTcPtI",
  "functional": "PBE",
  "state": "relaxed",
  "formation_energy_uncorrected_ev_per_atom": -0.045,
  "cell": [[3.494, 0.000, -0.001], [0.000, 3.494, 0.000], [-3.395, 0.000, 14.732]],
  "species": ["I", "I", "Sc", "Sc", "Tc", "Tc", "Pt", "Pt"],
  "fractional_positions": [[0.086, 0.000, 0.825], [0.086, 0.500, 0.325], [0.704, 0.000, 0.445], [0.704, 0.500, 0.945], [0.313, 0.000, 0.058], [0.313, 0.500, 0.558], [0.878, 0.000, 0.624], [0.878, 0.500, 0.124]]
}

***

[2]
{
  "formula": "ScTcPtI",
  "functional": "PBE",
  "state": "relaxed",
  "formation_energy_uncorrected_ev_per_atom": -0.068,
  "cell": [[-1.522, -7.636, -1.737], [3.629, -0.331, -1.724], [3.025, 0.984, 6.179]],
  "species": ["Sc", "Sc", "Tc", "Tc", "Pt", "Pt", "I", "I"],
  "fractional_positions": [[0.545, 0.000, 0.379], [0.545, 0.500, 0.879], [0.893, 0.000, 0.538], [0.893, 0.500, 0.038], [0.787, 0.000, 0.157], [0.787, 0.500, 0.657], [0.275, 0.000, 0.910], [0.275, 0.500, 0.410]]
}

***

[3]
{
  "formula": "ScTcPtI",
  "functional": "PBE",
  "state": "relaxed",
  "formation_energy_uncorrected_ev_per_atom": -0.106,
  "cell": [[-4.017, 0.411, 0.604], [1.470, -3.408, -1.701], [0.560, -2.449, 5.393]],
  "species": ["Sc", "Tc", "Pt", "I"],
  "fractional_positions": [[0.333, 0.667, 0.773], [0.333, 0.667, 0.220], [0.000, 0.000, 0.013], [0.667, 0.333, 0.437]]
}

***

[4]
{
  "formula": "ScTcPtI",
  "functional": "PBE",
  "state": "relaxed",
  "formation_energy_uncorrected_ev_per_atom": -0.132,
  "cell": [[-2.403, -1.626, 6.797], [0.682, -3.990, -0.713], [7.031, 1.161, 0.229]],
  "species": ["Sc", "Sc", "Tc", "Tc", "Pt", "Pt", "I", "I"],
  "fractional_positions": [[0.191, 0.000, 0.929], [0.191, 0.500, 0.429], [0.890, 0.000, 0.494], [0.890, 0.500, 0.994], [0.983, 0.000, 0.192], [0.983, 0.500, 0.692], [0.492, 0.000, 0.363], [0.492, 0.500, 0.863]]
}

***

| no. | DOS at the Fermi energy (states/eV/f.u.) | excess energy over the best structure of this formula in the dataset (eV/atom) |
| --- | --- | --- |
| 1 | 3.0 | 0.127 |
| 2 | 3.6 | 0.104 |
| 3 | 2.6 | 0.066 |
| 4 | 4.5 | 0.039 |